1.
RbAlPb: relaxed, PBE.

Geometry as CIF:
```
data_RbAlPb
_chemical_formula_sum 'Rb2 Al2 Pb2'
_cell_length_a 15.263
_cell_length_b 4.825
_cell_length_c 4.825
_cell_angle_alpha 115.89
_cell_angle_beta 119.96
_cell_angle_gamma 60.04
_symmetry_space_group_name_H-M 'P 1'
_symmetry_Int_Tables_number 1
loop_
_symmetry_equiv_pos_as_xyz
'x,y,z'
loop_
_atom_site_label
_atom_site_type_symbol
_atom_site_fract_x
_atom_site_fract_y
_atom_site_fract_z
Pb1 Pb 0.624 0.314 0.686
Pb2 Pb 0.376 0.686 0.314
Rb1 Rb 0.829 0.442 0.558
Rb2 Rb 0.171 0.558 0.442
Al1 Al 0.489 0.176 0.824
Al2 Al 0.511 0.824 0.176
```

Energy of formation from the pure elements ... 0.072 eV per atom

=====

2.
RbAlPb: relaxed, PBE.

Geometry as CIF:
```
data_RbAlPb
_chemical_formula_sum 'Rb2 Al2 Pb2'
_cell_length_a 6.403
_cell_length_b 6.403
_cell_length_c 10.730
_cell_angle_alpha 90.00
_cell_angle_beta 90.00
_cell_angle_gamma 120.00
_symmetry_space_group_name_H-M 'P 1'
_symmetry_Int_Tables_number 1
loop_
_symmetry_equiv_pos_as_xyz
'x,y,z'
loop_
_atom_site_label
_atom_site_type_symbol
_atom_site_fract_x
_atom_site_fract_y
_atom_site_fract_z
Pb1 Pb 0.000 0.000 0.000
Pb2 Pb 0.000 0.000 0.500
Rb1 Rb 0.333 0.667 0.250
Rb2 Rb 0.667 0.333 0.750
Al1 Al 0.000 0.000 0.750
Al2 Al 0.000 0.000 0.250
```

Energy of formation from the pure elements ... 0.497 eV per atom

=====

3.
RbAlPb: relaxed, PBE.

Geometry as CIF:
```
data_RbAlPb
_chemical_formula_sum 'Rb1 Al1 Pb1'
_cell_length_a 5.980
_cell_length_b 4.756
_cell_length_c 4.756
_cell_angle_alpha 120.00
_cell_angle_beta 90.00
_cell_angle_gamma 90.00
_symmetry_space_group_name_H-M 'P 1'
_symmetry_Int_Tables_number 1
loop_
_symmetry_equiv_pos_as_xyz
'x,y,z'
loop_
_atom_site_label
_atom_site_type_symbol
_atom_site_fract_x
_atom_site_fract_y
_atom_site_fract_z
Pb1 Pb 0.170 0.333 0.667
Al1 Al 0.163 0.000 0.000
Rb1 Rb 0.667 0.667 0.333
```

Energy of formation from the pure elements ... 0.016 eV per atom

=====

4.
RbAlPb: relaxed, PBE.

Geometry as CIF:
```
data_RbAlPb
_chemical_formula_sum 'Rb2 Al2 Pb2'
_cell_length_a 7.738
_cell_length_b 7.738
_cell_length_c 4.358
_cell_angle_alpha 90.00
_cell_angle_beta 90.00
_cell_angle_gamma 62.56
_symmetry_space_group_name_H-M 'P 1'
_symmetry_Int_Tables_number 1
loop_
_symmetry_equiv_pos_as_xyz
'x,y,z'
loop_
_atom_site_label
_atom_site_type_symbol
_atom_site_fract_x
_atom_site_fract_y
_atom_site_fract_z
Pb1 Pb 0.750 0.250 0.001
Pb2 Pb 0.250 0.750 0.999
Al1 Al 0.000 0.000 0.500
Al2 Al 0.500 0.500 0.500
Rb1 Rb 0.750 0.750 0.000
Rb2 Rb 0.250 0.250 0.000
```

Energy of formation from the pure elements ... 0.190 eV per atom

=====

5.
Rb2AlPb: relaxed, PBE.

Geometry as CIF:
```
data_Rb2AlPb
_chemical_formula_sum 'Rb4 Al2 Pb2'
_cell_length_a 13.936
_cell_length_b 13.936
_cell_length_c 10.217
_cell_angle_alpha 47.00
_cell_angle_beta 47.00
_cell_angle_gamma 90.00
_symmetry_space_group_name_H-M 'P 1'
_symmetry_Int_Tables_number 1
loop_
_symmetry_equiv_pos_as_xyz
'x,y,z'
loop_
_atom_site_label
_atom_site_type_symbol
_atom_site_fract_x
_atom_site_fract_y
_atom_site_fract_z
Rb1 Rb 0.375 0.582 0.750
Rb2 Rb 0.418 0.125 0.250
Rb3 Rb 0.332 0.625 0.250
Rb4 Rb 0.875 0.668 0.750
Pb1 Pb 0.750 0.250 0.500
Pb2 Pb 0.000 0.000 0.000
Al1 Al 0.250 0.750 0.500
Al2 Al 0.500 0.500 0.000
```

Energy of formation from the pure elements ... 0.188 eV per atom
Energy above the most stable polymorph in this dataset ... 0.00 kJ per mole of atoms

=====

6.
RbAlPb: relaxed, PBE.

Geometry as CIF:
```
data_RbAlPb
_chemical_formula_sum 'Rb4 Al4 Pb4'
_cell_length_a 13.407
_cell_length_b 13.407
_cell_length_c 9.794
_cell_angle_alpha 46.81
_cell_angle_beta 46.81
_cell_angle_gamma 90.00
_symmetry_space_group_name_H-M 'P 1'
_symmetry_Int_Tables_number 1
loop_
_symmetry_equiv_pos_as_xyz
'x,y,z'
loop_
_atom_site_label
_atom_site_type_symbol
_atom_site_fract_x
_atom_site_fract_y
_atom_site_fract_z
Al1 Al 0.222 0.222 0.000
Al2 Al 0.778 0.778 0.000
Al3 Al 0.222 0.778 0.000
Al4 Al 0.778 0.222 0.000
Rb1 Rb 0.303 0.500 0.000
Rb2 Rb 0.500 0.303 0.000
Rb3 Rb 0.697 0.500 0.000
Rb4 Rb 0.500 0.697 0.000
Pb1 Pb 0.379 0.000 0.000
Pb2 Pb 0.000 0.379 0.000
Pb3 Pb 0.621 0.000 0.000
Pb4 Pb 0.000 0.621 0.000
```

Energy of formation from the pure elements ... 0.220 eV per atom

=====

7.
RbAlPb: relaxed, PBE.

Geometry as CIF:
```
data_RbAlPb
_chemical_formula_sum 'Rb2 Al2 Pb2'
_cell_length_a 6.217
_cell_length_b 6.217
_cell_length_c 6.551
_cell_angle_alpha 90.00
_cell_angle_beta 90.00
_cell_angle_gamma 106.52
_symmetry_space_group_name_H-M 'P 1'
_symmetry_Int_Tables_number 1
loop_
_symmetry_equiv_pos_as_xyz
'x,y,z'
loop_
_atom_site_label
_atom_site_type_symbol
_atom_site_fract_x
_atom_site_fract_y
_atom_site_fract_z
Rb1 Rb 0.122 0.878 0.250
Rb2 Rb 0.878 0.122 0.750
Pb1 Pb 0.281 0.719 0.750
Pb2 Pb 0.719 0.281 0.250
Al1 Al 0.500 0.500 0.500
Al2 Al 0.500 0.500 0.000
```

Energy of formation from the pure elements ... 0.213 eV per atom

=====

8.
RbAlPb: relaxed, PBE.

Geometry as CIF:
```
data_RbAlPb
_chemical_formula_sum 'Rb2 Al2 Pb2'
_cell_length_a 8.812
_cell_length_b 8.812
_cell_length_c 5.330
_cell_angle_alpha 90.00
_cell_angle_beta 90.00
_cell_angle_gamma 148.06
_symmetry_space_group_name_H-M 'P 1'
_symmetry_Int_Tables_number 1
loop_
_symmetry_equiv_pos_as_xyz
'x,y,z'
loop_
_atom_site_label
_atom_site_type_symbol
_atom_site_fract_x
_atom_site_fract_y
_atom_site_fract_z
Pb1 Pb 0.747 0.253 0.750
Pb2 Pb 0.253 0.747 0.250
Rb1 Rb 0.920 0.080 0.250
Rb2 Rb 0.080 0.920 0.750
Al1 Al 0.652 0.348 0.250
Al2 Al 0.348 0.652 0.750
```

Energy of formation from the pure elements ... 0.095 eV per atom

=====

9.
RbAlPb: relaxed, PBE.

Geometry as CIF:
```
data_RbAlPb
_chemical_formula_sum 'Rb2 Al2 Pb2'
_cell_length_a 15.273
_cell_length_b 8.041
_cell_length_c 8.041
_cell_angle_alpha 147.02
_cell_angle_beta 149.59
_cell_angle_gamma 30.41
_symmetry_space_group_name_H-M 'P 1'
_symmetry_Int_Tables_number 1
loop_
_symmetry_equiv_pos_as_xyz
'x,y,z'
loop_
_atom_site_label
_atom_site_type_symbol
_atom_site_fract_x
_atom_site_fract_y
_atom_site_fract_z
Al1 Al 0.888 0.836 0.164
Al2 Al 0.112 0.164 0.836
Pb1 Pb 0.791 0.322 0.678
Pb2 Pb 0.209 0.678 0.322
Rb1 Rb 0.691 0.706 0.294
Rb2 Rb 0.309 0.294 0.706
```

Energy of formation from the pure elements ... 0.006 eV per atom

=====

10.
Rb2Al2Pb: relaxed, PBE.

Geometry as CIF:
```
data_Rb2Al2Pb
_chemical_formula_sum 'Rb4 Al4 Pb2'
_cell_length_a 7.547
_cell_length_b 7.547
_cell_length_c 6.212
_cell_angle_alpha 90.00
_cell_angle_beta 90.00
_cell_angle_gamma 90.00
_symmetry_space_group_name_H-M 'P 1'
_symmetry_Int_Tables_number 1
loop_
_symmetry_equiv_pos_as_xyz
'x,y,z'
loop_
_atom_site_label
_atom_site_type_symbol
_atom_site_fract_x
_atom_site_fract_y
_atom_site_fract_z
Pb1 Pb 0.000 0.000 0.000
Pb2 Pb 0.500 0.500 0.000
Al1 Al 0.122 0.378 0.000
Al2 Al 0.378 0.878 0.000
Al3 Al 0.878 0.622 0.000
Al4 Al 0.622 0.122 0.000
Rb1 Rb 0.314 0.186 0.500
Rb2 Rb 0.186 0.686 0.500
Rb3 Rb 0.814 0.314 0.500
Rb4 Rb 0.686 0.814 0.500
```

Energy of formation from the pure elements ... 0.200 eV per atom

=====

11.
RbAlPb: relaxed, PBE.

Geometry as CIF:
```
data_RbAlPb
_chemical_formula_sum 'Rb2 Al2 Pb2'
_cell_length_a 4.758
_cell_length_b 4.758
_cell_length_c 9.154
_cell_angle_alpha 90.00
_cell_angle_beta 90.00
_cell_angle_gamma 90.00
_symmetry_space_group_name_H-M 'P 1'
_symmetry_Int_Tables_number 1
loop_
_symmetry_equiv_pos_as_xyz
'x,y,z'
loop_
_atom_site_label
_atom_site_type_symbol
_atom_site_fract_x
_atom_site_fract_y
_atom_site_fract_z
Rb1 Rb 0.000 0.500 0.160
Rb2 Rb 0.500 0.000 0.840
Pb1 Pb 0.500 0.000 0.308
Pb2 Pb 0.000 0.500 0.692
Al1 Al 0.500 0.500 0.500
Al2 Al 0.000 0.000 0.500
```

Energy of formation from the pure elements ... -0.049 eV per atom

=====

12.
RbAlPb: relaxed, PBE.

Geometry as CIF:
```
data_RbAlPb
_chemical_formula_sum 'Rb2 Al2 Pb2'
_cell_length_a 19.689
_cell_length_b 7.707
_cell_length_c 7.707
_cell_angle_alpha 145.08
_cell_angle_beta 154.16
_cell_angle_gamma 25.84
_symmetry_space_group_name_H-M 'P 1'
_symmetry_Int_Tables_number 1
loop_
_symmetry_equiv_pos_as_xyz
'x,y,z'
loop_
_atom_site_label
_atom_site_type_symbol
_atom_site_fract_x
_atom_site_fract_y
_atom_site_fract_z
Rb1 Rb 0.935 0.334 0.666
Rb2 Rb 0.864 0.169 0.831
Al1 Al 0.321 0.036 0.964
Al2 Al 0.275 0.279 0.721
Pb1 Pb 0.495 0.440 0.560
Pb2 Pb 0.399 0.323 0.677
```

Energy of formation from the pure elements ... 0.105 eV per atom

=====

13.
RbAlPb: relaxed, PBE.

Geometry as CIF:
```
data_RbAlPb
_chemical_formula_sum 'Rb2 Al2 Pb2'
_cell_length_a 5.265
_cell_length_b 5.265
_cell_length_c 8.102
_cell_angle_alpha 90.00
_cell_angle_beta 90.00
_cell_angle_gamma 120.00
_symmetry_space_group_name_H-M 'P 1'
_symmetry_Int_Tables_number 1
loop_
_symmetry_equiv_pos_as_xyz
'x,y,z'
loop_
_atom_site_label
_atom_site_type_symbol
_atom_site_fract_x
_atom_site_fract_y
_atom_site_fract_z
Rb1 Rb 0.667 0.333 0.000
Rb2 Rb 0.667 0.333 0.500
Al1 Al 0.333 0.667 0.822
Al2 Al 0.333 0.667 0.178
Pb1 Pb 0.000 0.000 0.721
Pb2 Pb 0.000 0.000 0.279
```

Energy of formation from the pure elements ... 0.129 eV per atom

=====

14.
RbAlPb: relaxed, PBE.

Geometry as CIF:
```
data_RbAlPb
_chemical_formula_sum 'Rb4 Al4 Pb4'
_cell_length_a 13.875
_cell_length_b 8.686
_cell_length_c 6.899
_cell_angle_alpha 90.00
_cell_angle_beta 151.75
_cell_angle_gamma 90.00
_symmetry_space_group_name_H-M 'P 1'
_symmetry_Int_Tables_number 1
loop_
_symmetry_equiv_pos_as_xyz
'x,y,z'
loop_
_atom_site_label
_atom_site_type_symbol
_atom_site_fract_x
_atom_site_fract_y
_atom_site_fract_z
Rb1 Rb 0.903 0.790 0.697
Rb2 Rb 0.597 0.290 0.803
Rb3 Rb 0.403 0.710 0.197
Rb4 Rb 0.097 0.210 0.303
Al1 Al 0.669 0.420 0.388
Al2 Al 0.331 0.580 0.612
Al3 Al 0.169 0.080 0.888
Al4 Al 0.831 0.920 0.112
Pb1 Pb 0.444 0.912 0.693
Pb2 Pb 0.556 0.088 0.307
Pb3 Pb 0.056 0.412 0.807
Pb4 Pb 0.944 0.588 0.193
```

Energy of formation from the pure elements ... 0.112 eV per atom

=====

15.
RbAlPb: relaxed, PBE.

Geometry as CIF:
```
data_RbAlPb
_chemical_formula_sum 'Rb2 Al2 Pb2'
_cell_length_a 10.333
_cell_length_b 10.333
_cell_length_c 4.769
_cell_angle_alpha 90.00
_cell_angle_beta 90.00
_cell_angle_gamma 153.87
_symmetry_space_group_name_H-M 'P 1'
_symmetry_Int_Tables_number 1
loop_
_symmetry_equiv_pos_as_xyz
'x,y,z'
loop_
_atom_site_label
_atom_site_type_symbol
_atom_site_fract_x
_atom_site_fract_y
_atom_site_fract_z
Rb1 Rb 0.593 0.407 0.250
Rb2 Rb 0.407 0.593 0.750
Pb1 Pb 0.838 0.162 0.250
Pb2 Pb 0.162 0.838 0.750
Al1 Al 0.751 0.249 0.750
Al2 Al 0.249 0.751 0.250
```

Energy of formation from the pure elements ... -0.030 eV per atom

=====

16.
Rb5AlPb6: relaxed, PBE.

Geometry as CIF:
```
data_Rb5AlPb6
_chemical_formula_sum 'Rb5 Al1 Pb6'
_cell_length_a 10.316
_cell_length_b 8.164
_cell_length_c 8.029
_cell_angle_alpha 59.45
_cell_angle_beta 83.03
_cell_angle_gamma 76.18
_symmetry_space_group_name_H-M 'P 1'
_symmetry_Int_Tables_number 1
loop_
_symmetry_equiv_pos_as_xyz
'x,y,z'
loop_
_atom_site_label
_atom_site_type_symbol
_atom_site_fract_x
_atom_site_fract_y
_atom_site_fract_z
Rb1 Rb 0.000 0.664 0.672
Rb2 Rb 0.500 0.804 0.392
Rb3 Rb 0.000 0.336 0.328
Rb4 Rb 0.500 0.196 0.608
Rb5 Rb 0.500 0.500 0.000
Pb1 Pb 0.220 0.929 0.772
Pb2 Pb 0.780 0.071 0.228
Pb3 Pb 0.780 0.299 0.772
Pb4 Pb 0.220 0.701 0.228
Pb5 Pb 0.771 0.853 0.000
Pb6 Pb 0.229 0.147 0.000
Al1 Al 0.000 0.000 0.000
```

Energy of formation from the pure elements ... -0.035 eV per atom

=====

17.
RbAlPb: relaxed, PBE.

Geometry as CIF:
```
data_RbAlPb
_chemical_formula_sum 'Rb2 Al2 Pb2'
_cell_length_a 8.705
_cell_length_b 4.402
_cell_length_c 6.349
_cell_angle_alpha 90.00
_cell_angle_beta 106.55
_cell_angle_gamma 90.00
_symmetry_space_group_name_H-M 'P 1'
_symmetry_Int_Tables_number 1
loop_
_symmetry_equiv_pos_as_xyz
'x,y,z'
loop_
_atom_site_label
_atom_site_type_symbol
_atom_site_fract_x
_atom_site_fract_y
_atom_site_fract_z
Pb1 Pb 0.277 0.500 0.597
Pb2 Pb 0.626 0.500 0.970
Rb1 Rb 0.012 0.000 0.125
Rb2 Rb 0.650 0.000 0.498
Al1 Al 0.344 0.500 0.141
Al2 Al 0.379 0.000 0.924
```

Energy of formation from the pure elements ... 0.026 eV per atom

=====

18.
RbAlPb: relaxed, PBE.

Geometry as CIF:
```
data_RbAlPb
_chemical_formula_sum 'Rb2 Al2 Pb2'
_cell_length_a 4.277
_cell_length_b 18.848
_cell_length_c 10.044
_cell_angle_alpha 20.24
_cell_angle_beta 77.71
_cell_angle_gamma 90.00
_symmetry_space_group_name_H-M 'P 1'
_symmetry_Int_Tables_number 1
loop_
_symmetry_equiv_pos_as_xyz
'x,y,z'
loop_
_atom_site_label
_atom_site_type_symbol
_atom_site_fract_x
_atom_site_fract_y
_atom_site_fract_z
Al1 Al 0.757 0.257 0.485
Al2 Al 0.958 0.958 0.085
Pb1 Pb 0.488 0.401 0.024
Pb2 Pb 0.488 0.575 0.024
Rb1 Rb 0.472 0.801 0.055
Rb2 Rb 0.472 0.144 0.055
```

Energy of formation from the pure elements ... 0.033 eV per atom

=====

19.
RbAlPb: relaxed, PBE.

Geometry as CIF:
```
data_RbAlPb
_chemical_formula_sum 'Rb2 Al2 Pb2'
_cell_length_a 4.754
_cell_length_b 4.754
_cell_length_c 11.933
_cell_angle_alpha 90.00
_cell_angle_beta 90.00
_cell_angle_gamma 120.00
_symmetry_space_group_name_H-M 'P 1'
_symmetry_Int_Tables_number 1
loop_
_symmetry_equiv_pos_as_xyz
'x,y,z'
loop_
_atom_site_label
_atom_site_type_symbol
_atom_site_fract_x
_atom_site_fract_y
_atom_site_fract_z
Al1 Al 0.667 0.333 0.750
Al2 Al 0.333 0.667 0.250
Pb1 Pb 0.333 0.667 0.750
Pb2 Pb 0.667 0.333 0.250
Rb1 Rb 0.000 0.000 0.000
Rb2 Rb 0.000 0.000 0.500
```

Energy of formation from the pure elements ... 0.013 eV per atom

=====

20.
RbAlPb: relaxed, PBE.

Geometry as CIF:
```
data_RbAlPb
_chemical_formula_sum 'Rb2 Al2 Pb2'
_cell_length_a 8.323
_cell_length_b 4.787
_cell_length_c 5.955
_cell_angle_alpha 90.00
_cell_angle_beta 90.00
_cell_angle_gamma 90.00
_symmetry_space_group_name_H-M 'P 1'
_symmetry_Int_Tables_number 1
loop_
_symmetry_equiv_pos_as_xyz
'x,y,z'
loop_
_atom_site_label
_atom_site_type_symbol
_atom_site_fract_x
_atom_site_fract_y
_atom_site_fract_z
Pb1 Pb 0.181 0.500 0.000
Pb2 Pb 0.819 0.500 0.000
Al1 Al 0.344 0.000 0.000
Al2 Al 0.656 0.000 0.000
Rb1 Rb 0.500 0.500 0.500
Rb2 Rb 0.000 0.000 0.500
```

Energy of formation from the pure elements ... 0.046 eV per atom

=====

Final energy per entry: -0.1005; -0.0848; -0.1025; -0.0962; -0.0793; -0.0950; -0.0953; -0.0996; -0.1029; -0.0891; -0.1049; -0.0993; -0.0984; -0.0990; -0.1042; -0.0957; -0.1022; -0.1019; -0.1026; -0.1014 hartree per atom
Size of the total moment per entry: 0.00; 0.00; 0.00; 0.00; 0.00; 0.14; 0.00; 0.00; 0.00; 0.00; 0.00; 0.00; 0.00; 0.00; 0.00; 0.00; 0.00; 0.00; 0.00; 0.00 μB/f.u.
Ρ per entry: 4.11; 2.79; 4.53; 4.58; 2.57; 4.80; 4.37; 4.85; 4.52; 4.06; 5.12; 4.79; 5.46; 5.40; 4.73; 4.99; 4.55; 4.81; 4.54; 4.47 Mg/m³